Entry from Alexandria via LeMat-Bulk: crystalline Li2Mn3TeO8 at its relaxed geometry (GGA+U).

Distance to the lowest polymorph of the same formula, meV/atom: 4.6

```
data_Li2Mn3TeO8
_chemical_formula_sum 'Li8 Mn12 Te4 O32'
_cell_length_a 10.5645
_cell_length_b 6.1335
_cell_length_c 10.9087
_cell_angle_alpha 90.00
_cell_angle_beta 109.85
_cell_angle_gamma 90.00
_space_group_name_H-M_alt 'C 1 2/c 1'
_space_group_IT_number 15
_space_group_name_Hall '-C 2yc'
loop_
_atom_site_label
_atom_site_type_symbol
_atom_site_fract_x
_atom_site_fract_y
_atom_site_fract_z
_atom_site_occupancy
Li1 Li 0.1842 0.2420 0.2903 1
Mn1 Mn 0.0000 0.0000 0.0000 1
Mn2 Mn 0.0000 0.5000 0.0000 1
Mn3 Mn 0.2500 0.2500 0.0000 1
Te1 Te 0.0000 0.2694 0.7500 1
O1 O 0.1072 0.2702 0.6324 1
O2 O 0.1161 0.0440 0.8623 1
O3 O 0.1167 0.4881 0.8642 1
O4 O 0.1214 0.2675 0.0907 1
```